[1]
# Li8HoZn4 (PBE, relaxed)
data_Li8HoZn4
_space_group_name_H-M_alt 'I 4/m m m'
_space_group_IT_number 139
_space_group_name_Hall '-I 4 2'
_cell_length_a 9.2654
_cell_length_b 9.2654
_cell_length_c 5.2613
_cell_angle_alpha 90.00
_cell_angle_beta 90.00
_cell_angle_gamma 90.00
loop_
_atom_site_label
_atom_site_type_symbol
_atom_site_fract_x
_atom_site_fract_y
_atom_site_fract_z
Li1 Li 0.0000 0.2185 0.0000
Li2 Li 0.0000 0.3476 0.5000
Ho1 Ho 0.0000 0.0000 0.5000
Zn1 Zn 0.2500 0.2500 0.2500
# **Crystal system**: tetragonal
# **E_tot**: -2.036 eV per atom
# **DFT formation energy**: -114 meV/atom
# **Size of the total moment**: 0.00 Bohr magnetons per cell

=====

[2]
# LiHoZn2 (PBE, relaxed)
data_LiHoZn2
_space_group_name_H-M_alt 'F m -3 m'
_space_group_IT_number 225
_space_group_name_Hall '-F 4 2 3'
_cell_length_a 6.7263
_cell_length_b 6.7263
_cell_length_c 6.7263
_cell_angle_alpha 90.00
_cell_angle_beta 90.00
_cell_angle_gamma 90.00
loop_
_atom_site_label
_atom_site_type_symbol
_atom_site_fract_x
_atom_site_fract_y
_atom_site_fract_z
Li1 Li 0.0000 0.0000 0.0000
Ho1 Ho 0.0000 0.0000 0.5000
Zn1 Zn 0.2500 0.2500 0.2500
# **Crystal system**: cubic
# **E_tot**: -2.504 eV per atom
# **DFT formation energy**: -244 meV/atom
# **Size of the total moment**: 0.00 Bohr magnetons per cell

=====

[3]
# LiHo3Zn2 (PBE, relaxed)
data_LiHo3Zn2
_space_group_name_H-M_alt 'C m m m'
_space_group_IT_number 65
_space_group_name_Hall '-C 2 2'
_cell_length_a 5.0422
_cell_length_b 15.1402
_cell_length_c 3.6091
_cell_angle_alpha 90.00
_cell_angle_beta 90.00
_cell_angle_gamma 90.00
loop_
_atom_site_label
_atom_site_type_symbol
_atom_site_fract_x
_atom_site_fract_y
_atom_site_fract_z
Li1 Li 0.0000 0.0000 0.0000
Ho1 Ho 0.0000 0.1717 0.5000
Ho2 Ho 0.0000 0.5000 0.5000
Zn1 Zn 0.0000 0.3393 0.0000
# **Crystal system**: orthorhombic
# **E_tot**: -3.235 eV per atom
# **DFT formation energy**: -202 meV/atom
# **Size of the total moment**: 0.00 Bohr magnetons per cell

=====

[4]
# Li4HoZn2 (PBE, relaxed)
data_Li4HoZn2
_space_group_name_H-M_alt 'C m m m'
_space_group_IT_number 65
_space_group_name_Hall '-C 2 2'
_cell_length_a 4.5707
_cell_length_b 18.1660
_cell_length_c 3.2562
_cell_angle_alpha 90.00
_cell_angle_beta 90.00
_cell_angle_gamma 90.00
loop_
_atom_site_label
_atom_site_type_symbol
_atom_site_fract_x
_atom_site_fract_y
_atom_site_fract_z
Li1 Li 0.0000 0.1623 0.0000
Li2 Li 0.0000 0.3075 0.5000
Ho1 Ho 0.0000 0.0000 0.5000
Zn1 Zn 0.0000 0.4270 0.0000
# **Crystal system**: orthorhombic
# **E_tot**: -2.222 eV per atom
# **DFT formation energy**: -110 meV/atom
# **Size of the total moment**: 0.00 Bohr magnetons per cell

=====

[5]
# Li2HoZn (PBE, relaxed)
data_Li2HoZn
_space_group_name_H-M_alt 'F m -3 m'
_space_group_IT_number 225
_space_group_name_Hall '-F 4 2 3'
_cell_length_a 6.6866
_cell_length_b 6.6866
_cell_length_c 6.6866
_cell_angle_alpha 90.00
_cell_angle_beta 90.00
_cell_angle_gamma 90.00
loop_
_atom_site_label
_atom_site_type_symbol
_atom_site_fract_x
_atom_site_fract_y
_atom_site_fract_z
Li1 Li 0.2500 0.2500 0.2500
Ho1 Ho 0.0000 0.0000 0.0000
Zn1 Zn 0.0000 0.0000 0.5000
# **Crystal system**: cubic
# **E_tot**: -2.407 eV per atom
# **DFT formation energy**: 12 meV/atom
# **Size of the total moment**: 0.00 Bohr magnetons per cell

=====

[6]
# LiHoZn (PBE, relaxed)
data_LiHoZn
_space_group_name_H-M_alt 'P 1 21/m 1'
_space_group_IT_number 11
_cell_length_a 3.4274
_cell_length_b 3.4277
_cell_length_c 10.8757
_cell_angle_alpha 90.00
_cell_angle_beta 90.06
_cell_angle_gamma 90.00
loop_
_space_group_symop_operation_xyz
'x,y,z'
'-x,-y,-z'
'-x,y+1/2,-z'
'x,-y+1/2,z'
loop_
_atom_site_label
_atom_site_type_symbol
_atom_site_fract_x
_atom_site_fract_y
_atom_site_fract_z
Li1 Li 0.2494 0.2500 0.0771
Ho1 Ho 0.2503 0.2500 0.3802
Zn1 Zn 0.2515 0.2500 0.7938
# **Crystal system**: monoclinic
# **E_tot**: -2.713 eV per atom
# **DFT formation energy**: -125 meV/atom
# **Size of the total moment**: 0.00 Bohr magnetons per cell

=====

[7]
# Li3HoZn8 (PBE, relaxed)
data_Li3HoZn8
_space_group_name_H-M_alt 'R 3 m'
_space_group_IT_number 160
_space_group_name_Hall 'R 3 -2"'
_cell_length_a 5.1966
_cell_length_b 5.1966
_cell_length_c 25.9319
_cell_angle_alpha 90.00
_cell_angle_beta 90.00
_cell_angle_gamma 120.00
loop_
_atom_site_label
_atom_site_type_symbol
_atom_site_fract_x
_atom_site_fract_y
_atom_site_fract_z
Li1 Li 0.0000 0.0000 0.0000
Li2 Li 0.0000 0.0000 0.1194
Li3 Li 0.0000 0.0000 0.6289
Ho1 Ho 0.0000 0.0000 0.5007
Zn1 Zn 0.0000 0.0000 0.3136
Zn2 Zn 0.0000 0.0000 0.8121
Zn3 Zn 0.0004 0.5002 0.5647
Zn4 Zn 0.1673 0.3346 0.3949
# **Crystal system**: trigonal
# **E_tot**: -1.923 eV per atom
# **DFT formation energy**: -213 meV/atom
# **Size of the total moment**: 0.00 Bohr magnetons per cell

=====

[8]
# LiHoZn2 (PBE, relaxed)
data_LiHoZn2
_space_group_name_H-M_alt 'P 4/m m m'
_space_group_IT_number 123
_space_group_name_Hall '-P 4 2'
_cell_length_a 3.3144
_cell_length_b 3.3144
_cell_length_c 6.8682
_cell_angle_alpha 90.00
_cell_angle_beta 90.00
_cell_angle_gamma 90.00
loop_
_atom_site_label
_atom_site_type_symbol
_atom_site_fract_x
_atom_site_fract_y
_atom_site_fract_z
Li1 Li 0.0000 0.0000 0.0000
Ho1 Ho 0.0000 0.0000 0.5000
Zn1 Zn 0.5000 0.5000 0.2098
# **Crystal system**: tetragonal
# **E_tot**: -2.466 eV per atom
# **DFT formation energy**: -206 meV/atom
# **Size of the total moment**: 0.00 Bohr magnetons per cell

=====

[9]
# Li5Ho2Zn12 (PBE, relaxed)
data_Li5Ho2Zn12
_space_group_name_H-M_alt 'R -3 m'
_space_group_IT_number 166
_space_group_name_Hall '-R 3 2"'
_cell_length_a 8.9869
_cell_length_b 8.9869
_cell_length_c 13.0611
_cell_angle_alpha 90.00
_cell_angle_beta 90.00
_cell_angle_gamma 120.00
loop_
_atom_site_label
_atom_site_type_symbol
_atom_site_fract_x
_atom_site_fract_y
_atom_site_fract_z
Li1 Li 0.0000 0.0000 0.0968
Li2 Li 0.0000 0.5000 0.5000
Ho1 Ho 0.0000 0.0000 0.3470
Zn1 Zn 0.0000 0.2982 0.0000
Zn2 Zn 0.0024 0.5012 0.1529
# **Crystal system**: trigonal
# **E_tot**: -2.027 eV per atom
# **DFT formation energy**: -237 meV/atom
# **Size of the total moment**: 0.00 Bohr magnetons per cell

=====

[10]
# LiHo4Zn5 (PBE, relaxed)
data_LiHo4Zn5
_space_group_name_H-M_alt 'P 4/m m m'
_space_group_IT_number 123
_space_group_name_Hall '-P 4 2'
_cell_length_a 3.4974
_cell_length_b 3.4974
_cell_length_c 17.3430
_cell_angle_alpha 90.00
_cell_angle_beta 90.00
_cell_angle_gamma 90.00
loop_
_atom_site_label
_atom_site_type_symbol
_atom_site_fract_x
_atom_site_fract_y
_atom_site_fract_z
Li1 Li 0.0000 0.0000 0.0000
Ho1 Ho 0.0000 0.0000 0.1898
Ho2 Ho 0.0000 0.0000 0.3963
Zn1 Zn 0.5000 0.5000 0.0830
Zn2 Zn 0.5000 0.5000 0.2929
Zn3 Zn 0.5000 0.5000 0.5000
# **Crystal system**: tetragonal
# **E_tot**: -2.948 eV per atom
# **DFT formation energy**: -289 meV/atom
# **Size of the total moment**: 0.00 Bohr magnetons per cell

=====

[11]
# Li2HoZn2 (PBE, relaxed)
data_Li2HoZn2
_space_group_name_H-M_alt 'I m m a'
_space_group_IT_number 74
_space_group_name_Hall '-I 2b 2'
_cell_length_a 3.4966
_cell_length_b 4.4434
_cell_length_c 25.3479
_cell_angle_alpha 90.00
_cell_angle_beta 90.00
_cell_angle_gamma 90.00
loop_
_atom_site_label
_atom_site_type_symbol
_atom_site_fract_x
_atom_site_fract_y
_atom_site_fract_z
Li1 Li 0.0000 0.2500 0.1947
Li2 Li 0.0000 0.2500 0.7050
Ho1 Ho 0.0000 0.2500 0.4238
Zn1 Zn 0.0000 0.2500 0.8732
Zn2 Zn 0.0000 0.2500 0.9753
# **Crystal system**: orthorhombic
# **E_tot**: -2.379 eV per atom
# **DFT formation energy**: -189 meV/atom
# **Size of the total moment**: 0.00 Bohr magnetons per cell

=====

[12]
# LiHo3Zn2 (PBE, relaxed)
data_LiHo3Zn2
_space_group_name_H-M_alt 'P 4/m m m'
_space_group_IT_number 123
_space_group_name_Hall '-P 4 2'
_cell_length_a 3.5870
_cell_length_b 3.5870
_cell_length_c 10.8460
_cell_angle_alpha 90.00
_cell_angle_beta 90.00
_cell_angle_gamma 90.00
loop_
_atom_site_label
_atom_site_type_symbol
_atom_site_fract_x
_atom_site_fract_y
_atom_site_fract_z
Li1 Li 0.0000 0.0000 0.0000
Ho1 Ho 0.5000 0.5000 0.1826
Ho2 Ho 0.5000 0.5000 0.5000
Zn1 Zn 0.0000 0.0000 0.3365
# **Crystal system**: tetragonal
# **E_tot**: -3.233 eV per atom
# **DFT formation energy**: -201 meV/atom
# **Size of the total moment**: 0.00 Bohr magnetons per cell